(1)
A plane-wave DFT calculation with PBE was carried out for a relaxed structure of KRb2CdH.

abc: 5.9532 5.9532 5.6414
angles: 90.00 90.00 90.00
Element x y z (fractional)
K (0.0000, 0.0000, 0.0000)
Rb (0.0000, 0.5000, 0.5000)
Rb (0.5000, 0.0000, 0.5000)
Cd (0.5000, 0.5000, 0.0000)
H (0.0000, 0.0000, 0.5000)

The calculation puts the total energy at -1.471 eV per atom. As for the volume: 200 Å³ per cell. The value obtained for the total magnetization is 0.36 μB per cell. For the density of states at the Fermi level, the calculation gives 0.96 states/eV/atom.

---

(2)
A plane-wave DFT calculation with PBE was carried out for a relaxed structure of K2RbCdH.

abc: 5.6062 5.6062 6.6694
angles: 90.00 90.00 90.00
Element x y z (fractional)
K (0.0000, 0.5000, 0.0000)
K (0.5000, 0.0000, 0.0000)
Rb (0.0000, 0.0000, 0.5000)
Cd (0.5000, 0.5000, 0.5000)
H (0.5000, 0.5000, 0.0000)

The calculation puts the total energy at -1.417 eV per atom. For the energy above the lowest structure with this stoichiometry, the calculation gives 88 meV per atom. As for the volume: 210 Å³ per cell. The value obtained for the total magnetization is 0.00 μB per cell. For the density of states at the Fermi level, the calculation gives 0.32 states/eV/atom.

---

(3)
A plane-wave DFT calculation with PBE was carried out for a relaxed structure of K4Rb3CdH8.

abc: 8.0276 8.0276 7.8837
angles: 119.22 119.22 59.30
Element x y z (fractional)
K (0.0000, 0.0000, 0.0000)
K (0.0000, 0.5000, 0.0000)
K (0.5000, 0.0000, 0.0000)
K (0.5000, 0.5000, 0.0000)
Rb (0.0000, 0.0000, 0.5000)
Rb (0.0000, 0.5000, 0.5000)
Rb (0.5000, 0.0000, 0.5000)
Cd (0.5000, 0.5000, 0.5000)
H (0.2333, 0.2333, 0.2231)
H (0.2555, 0.2555, 0.7663)
H (0.2974, 0.6972, 0.2911)
H (0.3028, 0.7026, 0.7089)
H (0.6972, 0.2974, 0.2911)
H (0.7026, 0.3028, 0.7089)
H (0.7445, 0.7445, 0.2337)
H (0.7667, 0.7667, 0.7769)

The calculation puts the total energy at -2.249 eV per atom. As for the volume: 361 Å³ per cell. The value obtained for the total magnetization is 0.00 μB per cell. For the density of states at the Fermi level, the calculation gives 0.17 states/eV/atom.

---

(4)
A plane-wave DFT calculation with PBE was carried out for a relaxed structure of KRbCd2H6.

abc: 7.1990 7.1990 7.1990
angles: 51.96 51.96 51.96
Element x y z (fractional)
K (0.0000, 0.0000, 0.0000)
Rb (0.5000, 0.5000, 0.5000)
Cd (0.2526, 0.2526, 0.2526)
Cd (0.7474, 0.7474, 0.7474)
H (0.0220, 0.7662, 0.4560)
H (0.2338, 0.5440, 0.9780)
H (0.4560, 0.0220, 0.7662)
H (0.5440, 0.9780, 0.2338)
H (0.7662, 0.4560, 0.0220)
H (0.9780, 0.2338, 0.5440)

The calculation puts the total energy at -2.417 eV per atom. As for the volume: 214 Å³ per cell. The value obtained for the total magnetization is 0.00 μB per cell. For the density of states at the Fermi level, the calculation gives 0.00 states/eV/atom.

---

(5)
A plane-wave DFT calculation with PBE was carried out for a relaxed structure of K3Rb3CdH8.

abc: 7.9379 7.9379 7.9379
angles: 58.72 58.72 58.72
Element x y z (fractional)
K (0.0000, 0.5000, 0.5000)
K (0.5000, 0.0000, 0.5000)
K (0.5000, 0.5000, 0.0000)
Rb (0.0000, 0.0000, 0.5000)
Rb (0.0000, 0.5000, 0.0000)
Rb (0.5000, 0.0000, 0.0000)
Cd (0.0000, 0.0000, 0.0000)
H (0.1940, 0.1940, 0.7999)
H (0.1940, 0.7999, 0.1940)
H (0.2001, 0.8060, 0.8060)
H (0.2556, 0.2556, 0.2556)
H (0.7444, 0.7444, 0.7444)
H (0.7999, 0.1940, 0.1940)
H (0.8060, 0.2001, 0.8060)
H (0.8060, 0.8060, 0.2001)

The calculation puts the total energy at -2.365 eV per atom. As for the volume: 343 Å³ per cell. The value obtained for the total magnetization is 0.00 μB per cell. For the density of states at the Fermi level, the calculation gives 0.00 states/eV/atom.

---

(6)
A plane-wave DFT calculation with PBE was carried out for a relaxed structure of K2RbCdH.

abc: 5.6493 5.6493 5.9261
angles: 90.00 90.00 90.00
Element x y z (fractional)
K (0.0000, 0.5000, 0.0000)
K (0.5000, 0.0000, 0.0000)
Rb (0.0000, 0.0000, 0.5000)
Cd (0.5000, 0.5000, 0.5000)
H (0.0000, 0.0000, 0.0000)

The calculation puts the total energy at -1.504 eV per atom. For the energy above the lowest structure with this stoichiometry, the calculation gives 0 meV per atom. As for the volume: 189 Å³ per cell. The value obtained for the total magnetization is 0.50 μB per cell. For the density of states at the Fermi level, the calculation gives 0.85 states/eV/atom.

---

(7)
A plane-wave DFT calculation with PBE was carried out for a relaxed structure of K3Rb4CdH8.

abc: 8.0749 8.0749 7.9826
angles: 119.61 119.61 58.73
Element x y z (fractional)
K (0.0000, 0.0000, 0.0000)
K (0.0000, 0.5000, 0.5000)
K (0.5000, 0.0000, 0.5000)
Rb (0.0000, 0.0000, 0.5000)
Rb (0.0000, 0.5000, 0.0000)
Rb (0.5000, 0.0000, 0.0000)
Rb (0.5000, 0.5000, 0.5000)
Cd (0.5000, 0.5000, 0.0000)
H (0.2452, 0.2452, 0.2561)
H (0.2473, 0.2473, 0.7372)
H (0.2891, 0.7058, 0.7960)
H (0.2942, 0.7109, 0.2040)
H (0.7058, 0.2891, 0.7960)
H (0.7109, 0.2942, 0.2040)
H (0.7527, 0.7527, 0.2628)
H (0.7548, 0.7548, 0.7439)

The calculation puts the total energy at -2.233 eV per atom. As for the volume: 366 Å³ per cell. The value obtained for the total magnetization is 0.00 μB per cell. For the density of states at the Fermi level, the calculation gives 0.17 states/eV/atom.

---

(8)
A plane-wave DFT calculation with PBE was carried out for a relaxed structure of KRb2Cd2H6.

abc: 6.4508 6.4508 7.8229
angles: 116.83 116.83 57.65
Element x y z (fractional)
K (0.0000, 0.0000, 0.0000)
Rb (0.2005, 0.2005, 0.6838)
Rb (0.7995, 0.7995, 0.3162)
Cd (0.4678, 0.4678, 0.2855)
Cd (0.5322, 0.5322, 0.7145)
H (0.1928, 0.6864, 0.6937)
H (0.2826, 0.2826, 0.1202)
H (0.3136, 0.8072, 0.3063)
H (0.6864, 0.1928, 0.6937)
H (0.7174, 0.7174, 0.8798)
H (0.8072, 0.3136, 0.3063)

The calculation puts the total energy at -2.342 eV per atom. As for the volume: 236 Å³ per cell. The value obtained for the total magnetization is 0.15 μB per cell. For the density of states at the Fermi level, the calculation gives 0.26 states/eV/atom.

---

(9)
A plane-wave DFT calculation with PBE was carried out for a relaxed structure of K6Rb2CdH.

abc: 9.3790 9.3790 9.3862
angles: 120.00 120.00 89.90
Element x y z (fractional)
K (0.2301, 0.2301, 0.4604)
K (0.2298, 0.7702, 0.0000)
K (0.2308, 0.2308, 0.9995)
K (0.7692, 0.7692, 0.0005)
K (0.7702, 0.2298, 0.0000)
K (0.7699, 0.7699, 0.5396)
Rb (0.2502, 0.7498, 0.5000)
Rb (0.7498, 0.2502, 0.5000)
Cd (0.5000, 0.5000, 0.0000)
H (0.0000, 0.0000, 0.0000)

The calculation puts the total energy at -1.254 eV per atom. As for the volume: 584 Å³ per cell. The value obtained for the total magnetization is 0.00 μB per cell. For the density of states at the Fermi level, the calculation gives 0.91 states/eV/atom.

---

(10)
A plane-wave DFT calculation with PBE was carried out for a relaxed structure of KRb2CdH5.

abc: 8.2012 8.2012 8.2012
angles: 122.52 122.52 85.68
Element x y z (fractional)
K (0.2500, 0.2500, 0.0000)
K (0.7500, 0.7500, 0.0000)
Rb (0.1809, 0.6809, 0.8618)
Rb (0.3191, 0.1809, 0.5000)
Rb (0.6809, 0.8191, 0.5000)
Rb (0.8191, 0.3191, 0.1382)
Cd (0.2500, 0.7500, 0.5000)
Cd (0.7500, 0.2500, 0.5000)
H (0.0000, 0.0000, 0.0000)
H (0.0265, 0.7910, 0.5000)
H (0.2090, 0.7090, 0.2355)
H (0.2910, 0.5265, 0.5000)
H (0.4735, 0.9735, 0.7645)
H (0.5000, 0.5000, 0.0000)
H (0.5265, 0.0265, 0.2355)
H (0.7090, 0.4735, 0.5000)
H (0.7910, 0.2910, 0.7645)
H (0.9735, 0.2090, 0.5000)

The calculation puts the total energy at -2.465 eV per atom. As for the volume: 374 Å³ per cell. The value obtained for the total magnetization is 0.00 μB per cell. For the density of states at the Fermi level, the calculation gives 0.00 states/eV/atom.

---

(11)
A plane-wave DFT calculation with PBE was carried out for a relaxed structure of K2CdH6Rh.

abc: 5.8382 5.8382 5.2329
angles: 90.00 90.00 120.00
Element x y z (fractional)
K (0.3333, 0.6667, 0.2055)
K (0.6667, 0.3333, 0.7945)
Cd (0.0000, 0.0000, 0.5000)
H (0.1411, 0.2822, 0.8156)
H (0.1411, 0.8589, 0.8156)
H (0.2822, 0.1411, 0.1844)
H (0.7178, 0.8589, 0.8156)
H (0.8589, 0.1411, 0.1844)
H (0.8589, 0.7178, 0.1844)
Rh (0.0000, 0.0000, 0.0000)

The calculation puts the total energy at -3.241 eV per atom. As for the volume: 154 Å³ per cell. The value obtained for the total magnetization is 0.00 μB per cell. For the density of states at the Fermi level, the calculation gives 0.26 states/eV/atom.

---

(12)
A plane-wave DFT calculation with PBE was carried out for a relaxed structure of KCdH6Rh.

abc: 4.9033 4.9033 5.6303
angles: 90.00 90.00 120.00
Element x y z (fractional)
K (0.0000, 0.0000, 0.0000)
Cd (0.3333, 0.6667, 0.5000)
H (0.3989, 0.0709, 0.6846)
H (0.3989, 0.3280, 0.3154)
H (0.6720, 0.0709, 0.3154)
H (0.6720, 0.6011, 0.6846)
H (0.9291, 0.3280, 0.6846)
H (0.9291, 0.6011, 0.3154)
Rh (0.6667, 0.3333, 0.5000)

The calculation puts the total energy at -3.452 eV per atom. As for the volume: 117 Å³ per cell. The value obtained for the total magnetization is 0.00 μB per cell. For the density of states at the Fermi level, the calculation gives 0.00 states/eV/atom.

---

(13)
A plane-wave DFT calculation with PBE was carried out for a relaxed structure of K2CdHRh.

abc: 4.6183 4.6183 5.2258
angles: 90.00 90.00 90.00
Element x y z (fractional)
K (0.0000, 0.5000, 0.0000)
K (0.5000, 0.0000, 0.0000)
Cd (0.0000, 0.0000, 0.5000)
H (0.0000, 0.0000, 0.0000)
Rh (0.5000, 0.5000, 0.5000)

The calculation puts the total energy at -2.292 eV per atom. As for the volume: 111 Å³ per cell. The value obtained for the total magnetization is 0.00 μB per cell. For the density of states at the Fermi level, the calculation gives 0.67 states/eV/atom.

---

(14)
A plane-wave DFT calculation with PBE was carried out for a relaxed structure of K2CdH6Ru.

abc: 5.5400 5.5326 5.5147
angles: 60.19 60.06 59.74
Element x y z (fractional)
K (0.2500, 0.2500, 0.2500)
K (0.7500, 0.7500, 0.7500)
Cd (0.0000, 0.0000, 0.0000)
H (0.2722, 0.7278, 0.2722)
H (0.2716, 0.7284, 0.7284)
H (0.2741, 0.2741, 0.7259)
H (0.7259, 0.7259, 0.2741)
H (0.7284, 0.2716, 0.2716)
H (0.7278, 0.2722, 0.7278)
Ru (0.5000, 0.5000, 0.5000)

The calculation puts the total energy at -3.308 eV per atom. As for the volume: 120 Å³ per cell. The value obtained for the total magnetization is 0.25 μB per cell. For the density of states at the Fermi level, the calculation gives 0.81 states/eV/atom.

---

(15)
A plane-wave DFT calculation with PBE was carried out for a relaxed structure of KCdHS2.

abc: 7.5352 7.5352 5.0046
angles: 90.00 90.00 125.57
Element x y z (fractional)
K (0.2500, 0.7500, 0.7638)
K (0.7500, 0.2500, 0.2362)
Cd (0.2500, 0.2500, 0.0000)
Cd (0.7500, 0.7500, 0.0000)
H (0.0000, 0.0000, 0.5000)
H (0.5000, 0.5000, 0.5000)
S (0.0958, 0.9042, 0.2847)
S (0.4042, 0.5958, 0.2847)
S (0.5958, 0.4042, 0.7153)
S (0.9042, 0.0958, 0.7153)

The calculation puts the total energy at -3.359 eV per atom. As for the volume: 231 Å³ per cell. The value obtained for the total magnetization is 0.00 μB per cell. For the density of states at the Fermi level, the calculation gives 0.00 states/eV/atom.

---

(16)
A plane-wave DFT calculation with PBE was carried out for a relaxed structure of K2CdSbH.

abc: 4.8936 4.8936 5.4468
angles: 90.00 90.00 90.00
Element x y z (fractional)
K (0.0000, 0.5000, 0.0000)
K (0.5000, 0.0000, 0.0000)
Cd (0.0000, 0.0000, 0.5000)
Sb (0.5000, 0.5000, 0.5000)
H (0.0000, 0.0000, 0.0000)

The calculation puts the total energy at -2.213 eV per atom. For the energy above the lowest structure with this stoichiometry, the calculation gives 236 meV per atom. As for the volume: 130 Å³ per cell. The value obtained for the total magnetization is 0.00 μB per cell. For the density of states at the Fermi level, the calculation gives 0.17 states/eV/atom.

---

(17)
A plane-wave DFT calculation with PBE was carried out for a relaxed structure of K2CdSbH.

abc: 7.5081 4.8460 8.5012
angles: 90.00 107.70 90.00
Element x y z (fractional)
K (0.1241, 0.2500, 0.3740)
K (0.2539, 0.2500, 0.9525)
K (0.7461, 0.7500, 0.0475)
K (0.8759, 0.7500, 0.6260)
Cd (0.4189, 0.7500, 0.3233)
Cd (0.5811, 0.2500, 0.6767)
Sb (0.3648, 0.7500, 0.6734)
Sb (0.6352, 0.2500, 0.3266)
H (0.1671, 0.7500, 0.1718)
H (0.8329, 0.2500, 0.8282)

The calculation puts the total energy at -2.449 eV per atom. For the energy above the lowest structure with this stoichiometry, the calculation gives 0 meV per atom. As for the volume: 295 Å³ per cell. The value obtained for the total magnetization is 0.00 μB per cell.

---

(18)
A plane-wave DFT calculation with PBE was carried out for a relaxed structure of K2SrCdH.

abc: 5.4422 5.4422 5.5913
angles: 90.00 90.00 90.00
Element x y z (fractional)
K (0.0000, 0.5000, 0.0000)
K (0.5000, 0.0000, 0.0000)
Sr (0.0000, 0.0000, 0.5000)
Cd (0.5000, 0.5000, 0.5000)
H (0.0000, 0.0000, 0.0000)

The calculation puts the total energy at -1.703 eV per atom. As for the volume: 166 Å³ per cell. The value obtained for the total magnetization is 0.00 μB per cell. For the density of states at the Fermi level, the calculation gives 0.48 states/eV/atom.

---

(19)
A plane-wave DFT calculation with PBE was carried out for a relaxed structure of K2CdTcH6.

abc: 5.6649 5.6649 5.6426
angles: 109.29 109.29 109.30
Element x y z (fractional)
K (0.2452, 0.7548, 0.0000)
K (0.7548, 0.2452, 0.0000)
Cd (0.4654, 0.4654, 0.5223)
Tc (0.0419, 0.0419, 0.5247)
H (0.0361, 0.0361, 0.2245)
H (0.1510, 0.7836, 0.4517)
H (0.2319, 0.2319, 0.9140)
H (0.7619, 0.7619, 0.2068)
H (0.7836, 0.1510, 0.4517)
H (0.8105, 0.8105, 0.5951)

The calculation puts the total energy at -3.353 eV per atom. As for the volume: 140 Å³ per cell. The value obtained for the total magnetization is 1.01 μB per cell. For the density of states at the Fermi level, the calculation gives 0.16 states/eV/atom.

---

(20)
A plane-wave DFT calculation with PBE was carried out for a relaxed structure of K2TlCdH.

abc: 5.3456 5.3456 5.2440
angles: 90.00 90.00 90.00
Element x y z (fractional)
K (0.0000, 0.5000, 0.0000)
K (0.5000, 0.0000, 0.0000)
Tl (0.0000, 0.0000, 0.5000)
Cd (0.5000, 0.5000, 0.5000)
H (0.0000, 0.0000, 0.0000)

The calculation puts the total energy at -1.750 eV per atom. For the energy above the lowest structure with this stoichiometry, the calculation gives 0 meV per atom. As for the volume: 150 Å³ per cell. The value obtained for the total magnetization is 0.17 μB per cell. For the density of states at the Fermi level, the calculation gives 0.58 states/eV/atom.